Density functional theory data (GGA+U) for a relaxed structure of VIF2.

## Properties
DFT total energy: -5.037 eV per atom
distance to the lowest polymorph of the same formula: 0.000 eV per atom

abc: 3.3561 3.3561 29.1220
angles: 90.00 90.00 120.00
Space group R-3m (No. 166, hexagonal axes)
Unique sites:
V 0.0000 0.0000 0.0000 [3 per cell]
I 0.0000 0.0000 0.5000 [3 per cell]
F 0.0000 0.0000 0.3647 [6 per cell]